# LaTm3Ni GGA-PBE relaxed
data_LaTm3Ni
_chemical_formula_sum 'La1 Tm3 Ni1'
_space_group_name_H-M_alt 'P m -3 m'
_space_group_IT_number 221
_space_group_name_Hall '-P 4 2 3'
_cell_length_a 5.282
_cell_length_b 5.282
_cell_length_c 5.282
_cell_angle_alpha 90.00
_cell_angle_beta 90.00
_cell_angle_gamma 90.00
loop_
_atom_site_label
_atom_site_fract_x
_atom_site_fract_y
_atom_site_fract_z
La1 0.000 0.000 0.000
Tm1 0.000 0.500 0.500
Ni1 0.500 0.500 0.500
# ΔH_f (0 K)	-12	kJ per mole of atoms

=====

# K3Sm3ReO8 GGA-PBE relaxed
data_K3Sm3ReO8
_chemical_formula_sum 'K9 Sm9 Re3 O24'
_space_group_name_H-M_alt 'R -3 m'
_space_group_IT_number 166
_space_group_name_Hall '-R 3 2"'
_cell_length_a 6.9515
_cell_length_b 6.9515
_cell_length_c 18.9005
_cell_angle_alpha 90.00
_cell_angle_beta 90.00
_cell_angle_gamma 120.00
loop_
_atom_site_label
_atom_site_fract_x
_atom_site_fract_y
_atom_site_fract_z
K1 0.0000 0.5000 0.0000
Sm1 0.0000 0.5000 0.5000
Re1 0.0000 0.0000 0.5000
O1 0.0000 0.0000 0.2294
O2 0.0329 0.5165 0.2248
# E_form (uncorrected)	-2366	meV/atom

=====

# CsSnSeI2 GGA-PBE relaxed
data_CsSnSeI2
_chemical_formula_sum 'Cs1 Sn1 Se1 I2'
_space_group_name_H-M_alt 'P 4/m m m'
_space_group_IT_number 123
_space_group_name_Hall '-P 4 2'
_cell_length_a 6.292
_cell_length_b 6.292
_cell_length_c 5.342
_cell_angle_alpha 90.00
_cell_angle_beta 90.00
_cell_angle_gamma 90.00
loop_
_atom_site_label
_atom_site_fract_x
_atom_site_fract_y
_atom_site_fract_z
Cs1 0.000 0.000 0.000
Sn1 0.500 0.500 0.500
Se1 0.500 0.500 0.000
I1 0.000 0.500 0.500
# E_form (uncorrected)	-719	meV/atom

=====

# K2NiOs GGA-PBE relaxed
data_K2NiOs
_chemical_formula_sum 'K2 Ni1 Os1'
_space_group_name_H-M_alt 'P 4/m m m'
_space_group_IT_number 123
_space_group_name_Hall '-P 4 2'
_cell_length_a 3.897
_cell_length_b 3.897
_cell_length_c 5.437
_cell_angle_alpha 90.00
_cell_angle_beta 90.00
_cell_angle_gamma 90.00
loop_
_atom_site_label
_atom_site_fract_x
_atom_site_fract_y
_atom_site_fract_z
K1 0.000 0.500 0.000
Ni1 0.000 0.000 0.500
Os1 0.500 0.500 0.500
# ΔH_f (0 K)	134	kJ per mole of atoms

=====

# Ta2Os7W2 GGA-PBE relaxed
data_Ta2Os7W2
_chemical_formula_sum 'Ta4 Os14 W4'
_space_group_name_H-M_alt 'C 1 2/m 1'
_space_group_IT_number 12
_space_group_name_Hall '-C 2y'
_cell_length_a 6.726
_cell_length_b 8.459
_cell_length_c 6.503
_cell_angle_alpha 90.00
_cell_angle_beta 106.86
_cell_angle_gamma 90.00
loop_
_atom_site_label
_atom_site_fract_x
_atom_site_fract_y
_atom_site_fract_z
Ta1 0.217 0.000 0.471
Os1 0.000 0.000 0.000
Os2 0.087 0.500 0.842
Os3 0.192 0.283 0.162
W1 0.000 0.261 0.500
# ΔH_f (0 K)	35	kJ per mole of atoms

=====

SnGeAsHIr | GGA-PBE | relaxed

CIF file:
```
data_SnGeAsHIr
_chemical_formula_sum 'Sn2 Ge2 As2 H2 Ir2'
_space_group_name_H-M_alt 'C 1 m 1'
_space_group_IT_number 8
_space_group_name_Hall 'C -2y'
_cell_length_a 11.847
_cell_length_b 2.986
_cell_length_c 5.619
_cell_angle_alpha 90.00
_cell_angle_beta 118.16
_cell_angle_gamma 90.00
loop_
_atom_site_label
_atom_site_fract_x
_atom_site_fract_y
_atom_site_fract_z
Sn1 0.000 0.000 0.000
Ge1 0.242 0.500 0.312
As1 0.179 0.500 0.705
H1 0.411 0.000 0.314
Ir1 0.483 0.500 0.489
```

=====

# Nd6Mg2C GGA-PBE relaxed
data_Nd6Mg2C
_chemical_formula_sum 'Nd12 Mg4 C2'
_space_group_name_H-M_alt 'C 1 2/m 1'
_space_group_IT_number 12
_space_group_name_Hall '-C 2y'
_cell_length_a 12.588
_cell_length_b 7.275
_cell_length_c 7.276
_cell_angle_alpha 90.00
_cell_angle_beta 125.31
_cell_angle_gamma 90.00
loop_
_atom_site_label
_atom_site_fract_x
_atom_site_fract_y
_atom_site_fract_z
Nd1 0.001 0.242 0.258
Nd2 0.243 0.000 0.744
Mg1 0.250 0.000 0.250
C1 0.000 0.000 0.500
# ΔH_f (0 K)	-4	kJ per mole of atoms

=====

# Ti2HgPd GGA-PBE relaxed
data_Ti2HgPd
_chemical_formula_sum 'Ti6 Hg3 Pd3'
_space_group_name_H-M_alt 'R 3 m'
_space_group_IT_number 160
_space_group_name_Hall 'R 3 -2"'
_cell_length_a 3.6995
_cell_length_b 3.6995
_cell_length_c 20.0993
_cell_angle_alpha 90.00
_cell_angle_beta 90.00
_cell_angle_gamma 120.00
loop_
_atom_site_label
_atom_site_fract_x
_atom_site_fract_y
_atom_site_fract_z
Ti1 0.0000 0.0000 0.0000
Ti2 0.0000 0.0000 0.1950
Hg1 0.0000 0.0000 0.4308
Pd1 0.0000 0.0000 0.5934
# ΔH_f (0 K)	10	kJ per mole of atoms

=====

# Te2MoAu GGA-PBE relaxed
data_Te2MoAu
_chemical_formula_sum 'Te2 Mo1 Au1'
_space_group_name_H-M_alt 'P 4/m m m'
_space_group_IT_number 123
_space_group_name_Hall '-P 4 2'
_cell_length_a 3.328
_cell_length_b 3.328
_cell_length_c 7.758
_cell_angle_alpha 90.00
_cell_angle_beta 90.00
_cell_angle_gamma 90.00
loop_
_atom_site_label
_atom_site_fract_x
_atom_site_fract_y
_atom_site_fract_z
Te1 0.000 0.000 0.215
Mo1 0.500 0.500 0.000
Au1 0.500 0.500 0.500
# E_form (uncorrected)	204	meV/atom

=====

# YSi2Os GGA-PBE relaxed
data_YSi2Os
_chemical_formula_sum 'Y4 Si8 Os4'
_space_group_name_H-M_alt 'P n m a'
_space_group_IT_number 62
_space_group_name_Hall '-P 2ac 2n'
_cell_length_a 6.969
_cell_length_b 4.080
_cell_length_c 9.919
_cell_angle_alpha 90.00
_cell_angle_beta 90.00
_cell_angle_gamma 90.00
loop_
_atom_site_label
_atom_site_fract_x
_atom_site_fract_y
_atom_site_fract_z
Y1 0.153 0.250 0.126
Si1 0.148 0.250 0.816
Si2 0.200 0.250 0.423
Os1 0.017 0.750 0.390
# E_form (uncorrected)	-706	meV/atom

=====

# NaSrP2Ru GGA-PBE relaxed
data_NaSrP2Ru
_chemical_formula_sum 'Na1 Sr1 P2 Ru1'
_space_group_name_H-M_alt 'P 4/m m m'
_space_group_IT_number 123
_space_group_name_Hall '-P 4 2'
_cell_length_a 4.912
_cell_length_b 4.912
_cell_length_c 4.986
_cell_angle_alpha 90.00
_cell_angle_beta 90.00
_cell_angle_gamma 90.00
loop_
_atom_site_label
_atom_site_fract_x
_atom_site_fract_y
_atom_site_fract_z
Na1 0.000 0.000 0.000
Sr1 0.000 0.000 0.500
P1 0.000 0.500 0.000
Ru1 0.500 0.500 0.500
# ΔH_f (0 K)	118	kJ per mole of atoms

=====

no.,DFT total energy (eV for the cell shown)
1,-24.74
2,-315.14
3,-15.04
4,-13.66
5,-248.49
6,-50.63
7,-82.86
8,-62.65
9,-19.57
10,-125.46
11,-16.99